Here is a relaxed structure of CdHg7 from Alexandria via LeMat-Bulk. Energies are from GGA-PBE.

Cell and atoms, written as POSCAR:
```
CdHg7
1.0
-2.703 2.703 7.265
2.703 -2.703 7.265
2.703 2.703 -7.265
Cd Hg
1 7
Direct
0.000 0.000 0.000
0.122 0.622 0.500
0.249 0.249 0.000
0.378 0.878 0.500
0.500 0.500 0.000
0.622 0.122 0.500
0.751 0.751 0.000
0.878 0.378 0.500
```

Output
Formation energy   16 meV/atom
Total moment   0.00 μB/cell
Distance to the lowest polymorph of the same formula   0 meV per atom
Density of states at the Fermi level   1.25 states/eV/cell


Here is a relaxed structure of Cd3Hg from Alexandria via LeMat-Bulk. Energies are from GGA-PBE.

Cell and atoms, written as POSCAR:
```
Cd3Hg
1.0
4.846 -1.892 0.000
4.846 1.892 0.000
-1.021 0.000 5.113
Cd Hg
3 1
Direct
0.000 0.000 0.000
0.250 0.250 0.752
0.750 0.750 0.248
0.500 0.500 0.500
```

Output
Formation energy   2 meV/atom
Total moment   0.00 μB/cell
Density of states at the Fermi level   1.02 states/eV/cell


Here is a relaxed structure of HoCd3Hg6 from Alexandria via LeMat-Bulk. Energies are from GGA-PBE.

Cell and atoms, written as POSCAR:
```
HoCd3Hg6
1.0
6.662 3.846 3.359
-6.662 3.846 3.359
0.000 -7.693 3.359
Ho Cd Hg
2 6 12
Direct
0.000 0.000 0.000
0.500 0.500 0.500
0.094 0.250 0.406
0.250 0.406 0.094
0.406 0.094 0.250
0.594 0.906 0.750
0.750 0.594 0.906
0.906 0.750 0.594
0.024 0.855 0.308
0.145 0.692 0.976
0.192 0.645 0.476
0.308 0.024 0.855
0.355 0.524 0.808
0.476 0.192 0.645
0.524 0.808 0.355
0.645 0.476 0.192
0.692 0.976 0.145
0.808 0.355 0.524
0.855 0.308 0.024
0.976 0.145 0.692
```

Output
Formation energy   -106 meV/atom
Total moment   0.00 μB/cell
Distance to the lowest polymorph of the same formula   0 meV per atom
Density of states at the Fermi level   6.75 states/eV/cell


Here is a relaxed structure of HoCd2Hg from Alexandria via LeMat-Bulk. Energies are from GGA-PBE.

Cell and atoms, written as POSCAR:
```
HoCd2Hg
1.0
-2.536 2.536 3.583
2.536 -2.536 3.583
2.536 2.536 -3.583
Ho Cd Hg
1 2 1
Direct
0.000 0.000 0.000
0.250 0.750 0.500
0.500 0.500 0.000
0.750 0.250 0.500
```

Output
Formation energy   -299 meV/atom
Total moment   0.00 μB/cell
Distance to the lowest polymorph of the same formula   0 meV per atom
Density of states at the Fermi level   1.81 states/eV/cell


Here is a relaxed structure of HoCd2Hg3 from Alexandria via LeMat-Bulk. Energies are from GGA-PBE.

Cell and atoms, written as POSCAR:
```
HoCd2Hg3
1.0
5.112 0.000 0.000
-2.556 4.427 0.000
0.000 0.000 12.467
Ho Cd Hg
2 4 6
Direct
0.333 0.667 0.162
0.667 0.333 0.838
0.000 0.000 0.000
0.000 0.000 0.500
0.333 0.667 0.668
0.667 0.333 0.332
0.000 0.000 0.252
0.000 0.000 0.748
0.333 0.667 0.415
0.333 0.667 0.914
0.667 0.333 0.086
0.667 0.333 0.585
```

Output
Formation energy   -217 meV/atom
Total moment   0.00 μB/cell
Distance to the lowest polymorph of the same formula   0 meV per atom
Density of states at the Fermi level   5.87 states/eV/cell


Here is a relaxed structure of Ho4CdHg3 from Alexandria via LeMat-Bulk. Energies are from GGA-PBE.

Cell and atoms, written as POSCAR:
```
Ho4CdHg3
1.0
3.767 0.000 0.000
0.000 4.807 0.000
0.000 0.000 11.592
Ho Cd Hg
4 1 3
Direct
0.000 0.000 0.000
0.000 0.500 0.297
0.500 0.000 0.496
0.500 0.500 0.800
0.000 0.000 0.727
0.000 0.500 0.565
0.500 0.000 0.232
0.500 0.500 0.064
```

Output
Formation energy   -393 meV/atom
Total moment   0.00 μB/cell
Distance to the lowest polymorph of the same formula   44 meV per atom
Density of states at the Fermi level   7.86 states/eV/cell